Entry 1:
First-principles (PBEsol) data for crystalline Be2AlIn at its relaxed geometry, as listed in Alexandria via LeMat-Bulk.

DFT total energy = -13.20 eV/f.u.
Offset from the most stable computed form = 2.44 kcal/mol of atoms
M_tot = 0.000 μB/f.u.
N(E_F) = 2.92 states/eV/cell
Calculated volume = 116 Å³/cell

a b c (Å): 5.506 7.399 2.844
angles (deg): 90.00 90.00 90.00
Space group Cmmm (No. 65)
Symmetry-distinct sites (fractional):
1 Be 0.250 0.250 0.000 [4 per cell]
2 Al 0.000 0.000 0.500 [2 per cell]
3 In 0.000 0.500 0.500 [2 per cell]

***

Entry 2:
First-principles (PBEsol) data for crystalline BeAl2In at its relaxed geometry, as listed in Alexandria via LeMat-Bulk.

DFT total energy = -14.02 eV/f.u.
Offset from the most stable computed form = 1.43 kcal/mol of atoms
M_tot = 0.000 μB/f.u.
N(E_F) = 1.55 states/eV/cell
Calculated volume = 68 Å³/cell

a b c (Å): 2.803 3.713 6.487
angles (deg): 90.00 90.00 90.00
Space group Pmm2 (No. 25)
Symmetry-distinct sites (fractional):
1 Be 0.000 0.000 0.000 [1 per cell]
2 Al 0.000 0.000 0.598 [1 per cell]
3 Al 0.500 0.500 0.837 [1 per cell]
4 In 0.500 0.500 0.282 [1 per cell]